(1)
In2HgPb: PBEsol geometry, SCAN.

```
In2HgPb
1.0
3.7127 0.0000 0.0000
0.0000 5.3235 0.0000
-1.8564 -2.6617 5.2482
Pb Hg In
1 1 2
direct
0.5073 0.5073 0.0146 Pb
0.2590 0.7590 0.5180 Hg
0.9914 0.9914 0.9827 In
0.7423 0.2423 0.4847 In
```

Computed properties:
total magnetization = 0.000 μB/atom
volume = 25.93 Å³/atom
total energy = -52.625 eV per atom

---

(2)
InHg2Pb: PBEsol geometry, SCAN.

```
InHg2Pb
1.0
-1.6652 2.0285 3.8459
-4.3242 -1.2038 -1.2373
3.4452 -4.3844 0.9858
Pb Hg In
1 2 1
direct
0.0000 0.0000 0.0000 Pb
0.7500 0.2500 0.5000 Hg
0.2500 0.7500 0.5000 Hg
0.5000 0.5000 0.0000 In
```

Computed properties:
total magnetization = 0.000 μB/atom
volume = 24.97 Å³/atom
total energy = -61.314 eV per atom

---

(3)
In2HgPb: PBEsol geometry, SCAN.

```
In2HgPb
1.0
3.3942 0.0000 0.0000
1.6971 2.9395 0.0000
1.6971 0.9798 10.3405
Pb Hg In
1 1 2
direct
0.5000 0.5000 0.5000 Pb
0.0000 0.0000 0.0000 Hg
0.2559 0.2559 0.2323 In
0.7441 0.7441 0.7677 In
```

Computed properties:
total magnetization = 0.000 μB/atom
volume = 25.79 Å³/atom
total energy = -52.637 eV per atom